#1
DFT (PBE) results for crystalline Rb3TlAu4 at its relaxed geometry.

The value obtained for the density of states at the Fermi level is 0.120 states/eV per atom. The mass density is 7.7 Mg/m³. Its spin magnetization is 0.00 μB/cell.

The space group is Imm2 (No. 44) and the conventional cell measures 7.075, 7.718 and 9.806 Å, with angles of 90.00, 90.00 and 90.00 degrees. Symmetry generates all atoms from Rb at (0.000, 0.000, 0.000), Rb at (0.000, 0.244, 0.363), Tl at (0.000, 0.500, 0.977), Au at (0.000, 0.317, 0.720) and Au at (0.193, 0.000, 0.655).

---

#2
DFT (PBE) results for crystalline Rb3TlAu4 at its relaxed geometry.

The value obtained for the density of states at the Fermi level is 0.095 states/eV per atom. The mass density is 7.3 Mg/m³. Its spin magnetization is 0.00 μB/cell.

The space group is Imm2 (No. 44) and the conventional cell measures 6.930, 9.170 and 8.978 Å, with angles of 90.00, 90.00 and 90.00 degrees. Symmetry generates all atoms from Rb at (0.000, 0.000, 0.000), Rb at (0.000, 0.261, 0.340), Tl at (0.000, 0.500, 0.897), Au at (0.000, 0.247, 0.722) and Au at (0.202, 0.000, 0.610).

---

Calculated relative energies: #1 0; #2 9, given in meV/atom

---

#1
DFT (PBE) results for crystalline RbTl3Au at its relaxed geometry.

The value obtained for the density of states at the Fermi level is 1.752 states/eV per atom. The mass density is 5.3 Mg/m³. Its spin magnetization is 0.00 μB/cell.

The space group is Pm-3m (No. 221) and the conventional cell measures 6.549, 6.549 and 6.549 Å, with angles of 90.00, 90.00 and 90.00 degrees. Symmetry generates all atoms from Rb at (0.000, 0.000, 0.000), Tl at (0.000, 0.000, 0.500) and Au at (0.500, 0.500, 0.500).

---

#2
DFT (PBE) results for crystalline RbTl3Au at its relaxed geometry.

The value obtained for the density of states at the Fermi level is 0.518 states/eV per atom. The mass density is 9.2 Mg/m³. Its spin magnetization is 0.00 μB/cell.

The space group is C2/c (No. 15) and the conventional cell measures 17.628, 10.640 and 7.009 Å, with angles of 90.00, 101.67 and 90.00 degrees. Symmetry generates all atoms from Rb at (0.000, 0.036, 0.250), Rb at (0.000, 0.360, 0.750), Tl at (0.177, 0.164, 0.082), Tl at (0.180, 0.170, 0.599), Tl at (0.182, 0.498, 0.588) and Au at (0.081, 0.333, 0.285).

---

Calculated relative energies: #1 1025; #2 0, given in meV/atom

---

#1
DFT (PBE) results for crystalline RbTl3Au at its relaxed geometry.

The value obtained for the density of states at the Fermi level is 0.447 states/eV per atom. The mass density is 9.0 Mg/m³. Its spin magnetization is 0.00 μB/cell.

The space group is Cmmm (No. 65) and the conventional cell measures 9.606, 15.183 and 4.556 Å, with angles of 90.00, 90.00 and 90.00 degrees. Symmetry generates all atoms from Rb at (0.000, 0.212, 0.000), Tl at (0.000, 0.000, 0.500), Tl at (0.000, 0.500, 0.000), Tl at (0.189, 0.379, 0.500) and Au at (0.192, 0.000, 0.000).

---

#2
DFT (PBE) results for crystalline RbTl3Au at its relaxed geometry.

The value obtained for the density of states at the Fermi level is 0.818 states/eV per atom. The mass density is 8.0 Mg/m³. Its spin magnetization is 0.00 μB/cell.

The space group is Pm-3m (No. 221) and the conventional cell measures 5.719, 5.719 and 5.719 Å, with angles of 90.00, 90.00 and 90.00 degrees. Symmetry generates all atoms from Rb at (0.000, 0.000, 0.000), Tl at (0.000, 0.500, 0.500) and Au at (0.500, 0.500, 0.500).

---

Calculated relative energies: #1 0; #2 150, given in meV/atom

---

#1
DFT (PBE) results for crystalline RbTlAu3 at its relaxed geometry.

The value obtained for the density of states at the Fermi level is 1.809 states/eV per atom. The mass density is 6.3 Mg/m³. Its spin magnetization is 0.00 μB/cell.

The space group is Pm-3m (No. 221) and the conventional cell measures 6.145, 6.145 and 6.145 Å, with angles of 90.00, 90.00 and 90.00 degrees. Symmetry generates all atoms from Rb at (0.000, 0.000, 0.000), Tl at (0.500, 0.500, 0.500) and Au at (0.000, 0.000, 0.500).

---

#2
DFT (PBE) results for crystalline RbTlAu3 at its relaxed geometry.

The value obtained for the density of states at the Fermi level is 0.391 states/eV per atom. The mass density is 11.3 Mg/m³. Its spin magnetization is 0.00 μB/cell.

The space group is Pnma (No. 62) and the conventional cell measures 6.106, 7.575 and 11.179 Å, with angles of 90.00, 90.00 and 90.00 degrees. Symmetry generates all atoms from Rb at (0.000, 0.250, 0.006), Tl at (0.000, 0.000, 0.500), Au at (0.002, 0.250, 0.300) and Au at (0.248, 0.065, 0.750).

---

#3
DFT (PBE) results for crystalline RbTlAu3 at its relaxed geometry.

The value obtained for the density of states at the Fermi level is 0.208 states/eV per atom. The mass density is 9.0 Mg/m³. Its spin magnetization is 0.00 μB/cell.

The space group is Pm-3m (No. 221) and the conventional cell measures 5.466, 5.466 and 5.466 Å, with angles of 90.00, 90.00 and 90.00 degrees. Symmetry generates all atoms from Rb at (0.000, 0.000, 0.000), Tl at (0.500, 0.500, 0.500) and Au at (0.000, 0.500, 0.500).

---

Calculated relative energies: #1 915; #2 0; #3 128, given in meV/atom

---

#1
DFT (PBE) results for crystalline RbTl2Au2 at its relaxed geometry.

The value obtained for the density of states at the Fermi level is 0.425 states/eV per atom. The mass density is 10.4 Mg/m³. Its spin magnetization is 0.00 μB/cell.

The space group is P4/mbm (No. 127) and the conventional cell measures 9.036, 9.036 and 3.482 Å, with angles of 90.00, 90.00 and 90.00 degrees. Symmetry generates all atoms from Rb at (0.000, 0.000, 0.000), Tl at (0.128, 0.372, 0.000) and Au at (0.171, 0.671, 0.500).

---

#2
DFT (PBE) results for crystalline RbTl2Au2 at its relaxed geometry.

The value obtained for the density of states at the Fermi level is 0.459 states/eV per atom. The mass density is 9.7 Mg/m³. Its spin magnetization is 0.00 μB/cell.

The space group is I4/mmm (No. 139) and the conventional cell measures 4.954, 4.954 and 12.367 Å, with angles of 90.00, 90.00 and 90.00 degrees. Symmetry generates all atoms from Rb at (0.000, 0.000, 0.000), Tl at (0.000, 0.500, 0.250) and Au at (0.000, 0.000, 0.389).

---

#3
DFT (PBE) results for crystalline RbTl2Au2 at its relaxed geometry.

The value obtained for the density of states at the Fermi level is 0.412 states/eV per atom. The mass density is 9.3 Mg/m³. Its spin magnetization is 0.00 μB/cell.

The space group is I4/mmm (No. 139) and the conventional cell measures 5.350, 5.350 and 11.024 Å, with angles of 90.00, 90.00 and 90.00 degrees. Symmetry generates all atoms from Rb at (0.000, 0.000, 0.000), Tl at (0.000, 0.000, 0.354) and Au at (0.000, 0.500, 0.250).

---

#4
DFT (PBE) results for crystalline RbTl2Au2 at its relaxed geometry.

The value obtained for the density of states at the Fermi level is 0.461 states/eV per atom. The mass density is 10.2 Mg/m³. Its spin magnetization is 0.00 μB/cell.

The space group is P4/mbm (No. 127) and the conventional cell measures 8.851, 8.851 and 3.676 Å, with angles of 90.00, 90.00 and 90.00 degrees. Symmetry generates all atoms from Rb at (0.000, 0.000, 0.000), Tl at (0.148, 0.352, 0.500) and Au at (0.140, 0.640, 0.000).

---

Calculated relative energies: #1 94; #2 0; #3 12; #4 101, given in meV/atom